[1]
Ca2Cd3Rh2 (PBE, relaxed); mass density = 6.7 g/cm3; crystal system = monoclinic; D(E_F) = 3.72 states/eV/cell; energy relative to the elements = -0.37 eV/atom
1.0
4.471 0.000 0.000
-2.235 5.057 -0.186
0.000 -2.555 6.923
Cd Rh Ca
3 2 2
Cartesian
2.235 0.215 3.000
2.235 0.000 0.000
0.000 2.287 3.738
0.000 0.917 1.305
2.235 1.585 5.432
0.000 -0.564 5.406
2.235 3.066 1.331



[2]
La8Pd5Pt (PBE, relaxed); mass density = 7.8 g/cm3; crystal system = tetragonal; D(E_F) = 14.31 states/eV/cell; energy relative to the elements = -0.75 eV/atom
1.0
7.527 0.000 -2.605
-3.747 6.497 -2.680
-0.032 0.000 7.965
La Pd Pt
8 5 1
Cartesian
1.417 5.611 3.050
-1.866 4.842 1.578
-0.435 0.887 5.640
3.273 2.369 4.375
1.451 4.128 -0.997
0.851 1.656 1.699
-1.897 4.841 5.541
4.638 1.655 0.404
2.361 0.819 -1.280
3.268 4.083 1.329
3.747 0.000 2.680
6.094 2.414 -2.623
3.331 5.678 -2.637
-0.016 3.249 3.982



[3]
SnSb3H (PBE, relaxed); mass density = 7.1 g/cm3; crystal system = cubic; D(E_F) = 3.04 states/eV/cell
1.0
4.842 0.000 0.000
0.000 4.842 0.000
0.000 0.000 4.842
Sn H Sb
1 1 3
Cartesian
2.421 2.421 2.421
0.000 0.000 0.000
2.421 0.000 0.000
0.000 0.000 2.421
0.000 2.421 0.000



[4]
CaLaIn (PBE, relaxed); mass density = 5.0 g/cm3; crystal system = hexagonal; D(E_F) = 6.89 states/eV/cell; energy relative to the elements = -0.34 eV/atom
1.0
5.519 0.000 -0.037
0.000 7.361 0.000
-2.725 0.000 4.800
Ca La In
2 2 2
Cartesian
-0.570 5.068 2.656
2.177 1.387 1.045
2.201 3.228 4.233
2.201 6.908 4.233
2.178 5.069 1.043
-0.571 1.388 2.658



Electronic total energy list, top to bottom, in eV/cell: -24.1 -82.0 -17.7 -21.4